Au5Br3 after structural relaxation, computed with PBE-GGA.

Cell: 8.136 8.136 7.227 Å, 90.00 90.00 120.00°
Sites, in units of the cell vectors:
Au 0.000 0.187 0.250
Au 0.000 0.813 0.750
Au 0.187 0.000 0.250
Au 0.187 0.187 0.750
Au 0.333 0.667 0.000
Au 0.333 0.667 0.500
Au 0.667 0.333 0.000
Au 0.667 0.333 0.500
Au 0.813 0.000 0.750
Au 0.813 0.813 0.250
Br 0.000 0.497 0.250
Br 0.000 0.503 0.750
Br 0.497 0.000 0.250
Br 0.497 0.497 0.750
Br 0.503 0.000 0.750
Br 0.503 0.503 0.250

- E above lowest polymorph (meV/atom) = 255.4
- uncorrected formation energy (eV per atom) = 0.30
- calculated volume (A^3/atom) = 25.9


Au2Br3 after structural relaxation, computed with PBE-GGA.

Cell: 9.141 7.632 7.928 Å, 71.92 52.54 55.54°
Sites, in units of the cell vectors:
Au 0.188 0.812 0.432
Au 0.682 0.818 0.438
Au 0.812 0.188 0.568
Au 0.818 0.682 0.062
Br 0.070 0.550 0.654
Br 0.169 0.169 0.331
Br 0.523 0.596 0.700
Br 0.550 0.070 0.727
Br 0.596 0.523 0.180
Br 0.919 0.919 0.081

- E above lowest polymorph (meV/atom) = 0.0
- uncorrected formation energy (eV per atom) = -0.07
- calculated volume (A^3/atom) = 36.1


Au3Br5 after structural relaxation, computed with PBE-GGA.

Cell: 5.520 5.520 7.814 Å, 90.00 90.00 90.17°
Sites, in units of the cell vectors:
Au 0.000 0.000 0.000
Au 0.249 0.249 0.500
Au 0.751 0.751 0.500
Br 0.000 0.500 0.000
Br 0.251 0.749 0.500
Br 0.500 0.000 0.000
Br 0.500 0.500 0.000
Br 0.749 0.251 0.500

- E above lowest polymorph (meV/atom) = 232.0
- uncorrected formation energy (eV per atom) = 0.21
- calculated volume (A^3/atom) = 29.8


AuBr3 after structural relaxation, computed with PBE-GGA.

Cell: 8.475 8.475 7.169 Å, 90.00 90.00 120.00°
Sites, in units of the cell vectors:
Au 0.000 0.000 0.000
Au 0.000 0.000 0.500
Au 0.333 0.667 0.250
Au 0.667 0.333 0.750
Br 0.000 0.500 0.000
Br 0.000 0.500 0.500
Br 0.133 0.266 0.750
Br 0.133 0.867 0.750
Br 0.266 0.133 0.250
Br 0.500 0.000 0.000
Br 0.500 0.000 0.500
Br 0.500 0.500 0.000
Br 0.500 0.500 0.500
Br 0.734 0.867 0.750
Br 0.867 0.133 0.250
Br 0.867 0.734 0.250

- uncorrected formation energy (eV per atom) = 0.28
- calculated volume (A^3/atom) = 27.9


AuBr3 after structural relaxation, computed with PBE-GGA.

Cell: 7.972 7.972 4.884 Å, 90.00 90.00 81.35°
Sites, in units of the cell vectors:
Au 0.123 0.877 0.750
Au 0.877 0.123 0.250
Br 0.073 0.321 0.250
Br 0.321 0.073 0.750
Br 0.465 0.535 0.750
Br 0.535 0.465 0.250
Br 0.679 0.927 0.250
Br 0.927 0.679 0.750

- uncorrected formation energy (eV per atom) = 0.08
- calculated volume (A^3/atom) = 38.4


AuBr3 after structural relaxation, computed with PBE-GGA.

Cell: 5.287 5.287 5.287 Å, 90.00 90.00 90.00°
Sites, in units of the cell vectors:
Au 0.000 0.000 0.000
Br 0.000 0.000 0.500
Br 0.000 0.500 0.000
Br 0.500 0.000 0.000

- uncorrected formation energy (eV per atom) = 0.09
- calculated volume (A^3/atom) = 37.0


N(E_F) readings, ordered: 0.228 0.956 0.480 0.857 1.097 1.618 states/eV/atom